Model i:
# LiTlW3, optimized geometry, DFT PBE-GGA
data_LiTlW3
_chemical_formula_sum 'Li1 Tl1 W3'
_cell_length_a 4.341
_cell_length_b 4.341
_cell_length_c 4.341
_cell_angle_alpha 90.00
_cell_angle_beta 90.00
_cell_angle_gamma 90.00
_symmetry_space_group_name_H-M 'P m -3 m'
_symmetry_Int_Tables_number 221
_symmetry_space_group_name_Hall '-P 4 2 3'
loop_
_atom_site_label
_atom_site_fract_x
_atom_site_fract_y
_atom_site_fract_z
_atom_site_occupancy
Li1 0.000 0.000 0.000 1
Tl1 0.500 0.500 0.500 1
W1 0.000 0.000 0.500 1
# Density   15.48 g/cm³
# N(E_F)   3.8 states/eV/f.u.



Model ii:
# LiTlW3, optimized geometry, DFT PBE-GGA
data_LiTlW3
_chemical_formula_sum 'Li1 Tl1 W3'
_cell_length_a 5.024
_cell_length_b 5.024
_cell_length_c 5.024
_cell_angle_alpha 90.00
_cell_angle_beta 90.00
_cell_angle_gamma 90.00
_symmetry_space_group_name_H-M 'P m -3 m'
_symmetry_Int_Tables_number 221
_symmetry_space_group_name_Hall '-P 4 2 3'
loop_
_atom_site_label
_atom_site_fract_x
_atom_site_fract_y
_atom_site_fract_z
_atom_site_occupancy
Li1 0.000 0.000 0.000 1
Tl1 0.500 0.500 0.500 1
W1 0.000 0.500 0.500 1
# Density   9.99 g/cm³
# N(E_F)   10.4 states/eV/f.u.



In terms of stability, model i leads; the second structure lies 1548 meV per atom higher.



Model i:
# LiY2Tl, optimized geometry, DFT PBE-GGA
data_LiY2Tl
_chemical_formula_sum 'Li1 Y2 Tl1'
_cell_length_a 3.512
_cell_length_b 4.707
_cell_length_c 6.585
_cell_angle_alpha 90.00
_cell_angle_beta 90.00
_cell_angle_gamma 90.00
_symmetry_space_group_name_H-M 'P m m 2'
_symmetry_Int_Tables_number 25
_symmetry_space_group_name_Hall 'P 2 -2'
loop_
_atom_site_label
_atom_site_fract_x
_atom_site_fract_y
_atom_site_fract_z
_atom_site_occupancy
Li1 0.000 0.000 0.000 1
Y1 0.000 0.000 0.465 1
Y2 0.500 0.500 0.766 1
Tl1 0.500 0.500 0.250 1
# Density   5.93 g/cm³
# N(E_F)   3.5 states/eV/f.u.



Model ii:
# LiY2Tl, optimized geometry, DFT PBE-GGA
data_LiY2Tl
_chemical_formula_sum 'Li2 Y4 Tl2'
_cell_length_a 3.723
_cell_length_b 5.173
_cell_length_c 10.911
_cell_angle_alpha 90.00
_cell_angle_beta 90.00
_cell_angle_gamma 90.00
_symmetry_space_group_name_H-M 'I m m 2'
_symmetry_Int_Tables_number 44
_symmetry_space_group_name_Hall 'I 2 -2'
loop_
_atom_site_label
_atom_site_fract_x
_atom_site_fract_y
_atom_site_fract_z
_atom_site_occupancy
Li1 0.000 0.000 0.000 1
Y1 0.000 0.000 0.460 1
Y2 0.000 0.500 0.232 1
Tl1 0.000 0.500 0.691 1
# Density   6.15 g/cm³
# N(E_F)   4.2 states/eV/f.u.



In terms of stability, model ii leads; the second structure lies 61 meV per atom higher.



Model i:
# LiY2Tl, optimized geometry, DFT PBE-GGA
data_LiY2Tl
_chemical_formula_sum 'Li2 Y4 Tl2'
_cell_length_a 4.550
_cell_length_b 4.550
_cell_length_c 10.069
_cell_angle_alpha 90.00
_cell_angle_beta 90.00
_cell_angle_gamma 90.00
_symmetry_space_group_name_H-M 'I -4 m 2'
_symmetry_Int_Tables_number 119
_symmetry_space_group_name_Hall 'I -4 -2'
loop_
_atom_site_label
_atom_site_fract_x
_atom_site_fract_y
_atom_site_fract_z
_atom_site_occupancy
Li1 0.000 0.000 0.000 1
Y1 0.000 0.000 0.500 1
Y2 0.000 0.500 0.250 1
Tl1 0.000 0.500 0.750 1
# Density   6.20 g/cm³
# N(E_F)   2.5 states/eV/f.u.



Model ii:
# LiY2Tl, optimized geometry, DFT PBE-GGA
data_LiY2Tl
_chemical_formula_sum 'Li1 Y2 Tl1'
_cell_length_a 3.585
_cell_length_b 4.877
_cell_length_c 6.357
_cell_angle_alpha 90.00
_cell_angle_beta 106.29
_cell_angle_gamma 90.00
_symmetry_space_group_name_H-M 'P 1 m 1'
_symmetry_Int_Tables_number 6
_symmetry_space_group_name_Hall 'P -2y'
loop_
_atom_site_label
_atom_site_fract_x
_atom_site_fract_y
_atom_site_fract_z
_atom_site_occupancy
Li1 0.000 0.000 0.000 1
Y1 0.397 0.500 0.796 1
Y2 0.728 0.000 0.458 1
Tl1 0.127 0.500 0.257 1
# Density   6.06 g/cm³
# N(E_F)   3.2 states/eV/f.u.



In terms of stability, model ii leads; the second structure lies 77 meV per atom higher.



Model i:
# LiY2Tl, optimized geometry, DFT PBE-GGA
data_LiY2Tl
_chemical_formula_sum 'Li2 Y4 Tl2'
_cell_length_a 10.406
_cell_length_b 3.619
_cell_length_c 6.127
_cell_angle_alpha 90.00
_cell_angle_beta 101.29
_cell_angle_gamma 90.00
_symmetry_space_group_name_H-M 'C 1 2/m 1'
_symmetry_Int_Tables_number 12
_symmetry_space_group_name_Hall '-C 2y'
loop_
_atom_site_label
_atom_site_fract_x
_atom_site_fract_y
_atom_site_fract_z
_atom_site_occupancy
Li1 0.000 0.000 0.000 1
Y1 0.245 0.000 0.741 1
Tl1 0.000 0.500 0.500 1
# Density   5.71 g/cm³
# N(E_F)   3.9 states/eV/f.u.



Model ii:
# LiY2Tl, optimized geometry, DFT PBE-GGA
data_LiY2Tl
_chemical_formula_sum 'Li2 Y4 Tl2'
_cell_length_a 6.296
_cell_length_b 3.638
_cell_length_c 10.402
_cell_angle_alpha 90.00
_cell_angle_beta 101.58
_cell_angle_gamma 90.00
_symmetry_space_group_name_H-M 'C 1 m 1'
_symmetry_Int_Tables_number 8
_symmetry_space_group_name_Hall 'C -2y'
loop_
_atom_site_label
_atom_site_fract_x
_atom_site_fract_y
_atom_site_fract_z
_atom_site_occupancy
Li1 0.000 0.000 0.000 1
Y1 0.080 0.500 0.741 1
Y2 0.253 0.500 0.259 1
Tl1 0.167 0.000 0.500 1
# Density   5.54 g/cm³
# N(E_F)   3.4 states/eV/f.u.



Model iii:
# LiY2Tl, optimized geometry, DFT PBE-GGA
data_LiY2Tl
_chemical_formula_sum 'Li1 Y2 Tl1'
_cell_length_a 5.095
_cell_length_b 5.095
_cell_length_c 4.055
_cell_angle_alpha 90.00
_cell_angle_beta 90.00
_cell_angle_gamma 90.00
_symmetry_space_group_name_H-M 'P 4/m m m'
_symmetry_Int_Tables_number 123
_symmetry_space_group_name_Hall '-P 4 2'
loop_
_atom_site_label
_atom_site_fract_x
_atom_site_fract_y
_atom_site_fract_z
_atom_site_occupancy
Li1 0.000 0.000 0.000 1
Y1 0.000 0.500 0.500 1
Tl1 0.500 0.500 0.000 1
# Density   6.14 g/cm³
# N(E_F)   3.1 states/eV/f.u.



Model iv:
# LiY2Tl, optimized geometry, DFT PBE-GGA
data_LiY2Tl
_chemical_formula_sum 'Li4 Y8 Tl4'
_cell_length_a 7.484
_cell_length_b 7.484
_cell_length_c 7.484
_cell_angle_alpha 90.00
_cell_angle_beta 90.00
_cell_angle_gamma 90.00
_symmetry_space_group_name_H-M 'F m -3 m'
_symmetry_Int_Tables_number 225
_symmetry_space_group_name_Hall '-F 4 2 3'
loop_
_atom_site_label
_atom_site_fract_x
_atom_site_fract_y
_atom_site_fract_z
_atom_site_occupancy
Li1 0.000 0.000 0.000 1
Y1 0.250 0.250 0.250 1
Tl1 0.000 0.000 0.500 1
# Density   6.17 g/cm³
# N(E_F)   3.5 states/eV/f.u.



In terms of stability, model iv leads; the second structure lies 13 meV per atom higher.